# 1
# Zn2CuGeTe

A geometry-optimized Zn2CuGeTe structure (PBE-GGA, the Alexandria database).

a = 4.7449 Å, b = 4.7449 Å, c = 4.7246 Å
α = 90.00°, β = 90.00°, γ = 90.00°
Space group P4/mmm (No. 123)
Inequivalent atoms, fractional coordinates:
Zn  0.0000  0.5000  0.0000 [2 per cell]
Cu  0.0000  0.0000  0.0000 [1 per cell]
Ge  0.0000  0.0000  0.5000 [1 per cell]
Te  0.5000  0.5000  0.5000 [1 per cell]

Output
The uncorrected formation energy comes out at 243 meV/atom. For the density of states at the Fermi level, the calculation gives 2.9 states/eV/f.u.

---

# 2
# PuPa5As6

A geometry-optimized PuPa5As6 structure (PBE-GGA, the Alexandria database).

a = 7.1023 Å, b = 12.2982 Å, c = 7.1009 Å
α = 90.00°, β = 109.46°, γ = 90.00°
Space group C2/m (No. 12)
Inequivalent atoms, fractional coordinates:
Pu  0.0000  0.0000  0.0000 [2 per cell]
Pa  0.0000  0.1656  0.5000 [4 per cell]
Pa  0.0000  0.3332  0.0000 [4 per cell]
Pa  0.0000  0.5000  0.5000 [2 per cell]
As  0.2491  0.3328  0.7491 [8 per cell]
As  0.2487  0.5000  0.2498 [4 per cell]

Output
The value obtained for the formation energy is -1.067 eV per atom. For the density of states at the Fermi level, the calculation gives 18.2 states/eV/f.u.

---

# 3
# Tb5HgOs2

A geometry-optimized Tb5HgOs2 structure (PBE-GGA, the Alexandria database).

a = 7.7928 Å, b = 7.7928 Å, c = 13.4313 Å
α = 90.00°, β = 90.00°, γ = 90.00°
Space group I4/mcm (No. 140)
Inequivalent atoms, fractional coordinates:
Tb  0.0000  0.0000  0.0000 [4 per cell]
Tb  0.1586  0.3414  0.1328 [16 per cell]
Hg  0.0000  0.0000  0.2500 [4 per cell]
Os  0.1407  0.3593  0.5000 [8 per cell]

Output
The value obtained for the formation energy is -0.330 eV per atom. For the density of states at the Fermi level, the calculation gives 5.7 states/eV/f.u.

---

# 4
# CeNd2Si

A geometry-optimized CeNd2Si structure (PBE-GGA, the Alexandria database).

a = 4.8003 Å, b = 4.8003 Å, c = 4.5523 Å
α = 90.00°, β = 90.00°, γ = 90.00°
Space group P4/mmm (No. 123)
Inequivalent atoms, fractional coordinates:
Ce  0.0000  0.0000  0.0000 [1 per cell]
Nd  0.0000  0.5000  0.5000 [2 per cell]
Si  0.5000  0.5000  0.0000 [1 per cell]

Output
The energy relative to the lowest polymorph listed for this composition is 0.0 meV per atom. The uncorrected formation energy comes out at -248 meV/atom. For the density of states at the Fermi level, the calculation gives 6.2 states/eV/f.u.